No. 1
# Tb2Y4Tm5, relaxed, DFT PBE-GGA
# - Magnetization: 0.0 μB per formula unit
# - Density: 7.23 g/cm3
# - Symmetry: C2/m, No. 12
# - Energy above the lowest structure with this stoichiometry: 0 meV/atom
# - Volume: 349 Å³ per cell
# - Energy of formation from the pure elements: 0.10 eV/atom
# - Crystal system: monoclinic
# - Total energy: -5.13 eV per atom
data_Tb2Y4Tm5
_chemical_formula_sum 'Tb2 Y4 Tm5'
_symmetry_space_group_name_H-M 'P 1'
_symmetry_Int_Tables_number 1
_cell_length_a 8.5947
_cell_length_b 8.5947
_cell_length_c 9.1543
_cell_angle_alpha 121.41
_cell_angle_beta 121.41
_cell_angle_gamma 38.16
loop_
_symmetry_equiv_pos_as_xyz
'x,y,z'
loop_
_atom_site_label
_atom_site_type_symbol
_atom_site_fract_x
_atom_site_fract_y
_atom_site_fract_z
_atom_site_occupancy
Tb1 Tb 0.0974 0.0974 0.2634 1
Tb2 Tb 0.9026 0.9026 0.7366 1
Y1 Y 0.1843 0.1843 0.9872 1
Y2 Y 0.4524 0.4524 0.1922 1
Y3 Y 0.5476 0.5476 0.8078 1
Y4 Y 0.8157 0.8157 0.0128 1
Tm1 Tm 0.0000 0.0000 0.5000 1
Tm2 Tm 0.2825 0.2825 0.7382 1
Tm3 Tm 0.3456 0.3456 0.4356 1
Tm4 Tm 0.6544 0.6544 0.5644 1
Tm5 Tm 0.7175 0.7175 0.2618 1



No. 2
# Tb2YTm, relaxed, DFT PBE-GGA
# - Magnetization: 0.0 μB per formula unit
# - Density: 7.60 g/cm3
# - Symmetry: R-3m, No. 166
# - Energy above the lowest structure with this stoichiometry: 10 meV/atom
# - Volume: 126 Å³ per cell
# - Energy of formation from the pure elements: 0.02 eV/atom
# - Crystal system: trigonal
# - Total energy: -5.03 eV per atom
data_Tb2YTm
_chemical_formula_sum 'Tb2 Y1 Tm1'
_symmetry_space_group_name_H-M 'P 1'
_symmetry_Int_Tables_number 1
_cell_length_a 11.7227
_cell_length_b 11.7227
_cell_length_c 11.7227
_cell_angle_alpha 17.40
_cell_angle_beta 17.40
_cell_angle_gamma 17.40
loop_
_symmetry_equiv_pos_as_xyz
'x,y,z'
loop_
_atom_site_label
_atom_site_type_symbol
_atom_site_fract_x
_atom_site_fract_y
_atom_site_fract_z
_atom_site_occupancy
Tb1 Tb 0.2491 0.2491 0.2491 1
Tb2 Tb 0.7509 0.7509 0.7509 1
Y1 Y 0.0000 0.0000 0.0000 1
Tm1 Tm 0.5000 0.5000 0.5000 1



No. 3
# TbY12Tm5, relaxed, DFT PBE-GGA
# - Magnetization: 0.0 μB per formula unit
# - Density: 6.05 g/cm3
# - Symmetry: C2/m, No. 12
# - Volume: 569 Å³ per cell
# - Energy of formation from the pure elements: 0.02 eV/atom
# - Crystal system: monoclinic
# - Total energy: -5.79 eV per atom
data_TbY12Tm5
_chemical_formula_sum 'Tb1 Y12 Tm5'
_symmetry_space_group_name_H-M 'P 1'
_symmetry_Int_Tables_number 1
_cell_length_a 6.1674
_cell_length_b 6.1674
_cell_length_c 17.3763
_cell_angle_alpha 93.40
_cell_angle_beta 93.40
_cell_angle_gamma 119.97
loop_
_symmetry_equiv_pos_as_xyz
'x,y,z'
loop_
_atom_site_label
_atom_site_type_symbol
_atom_site_fract_x
_atom_site_fract_y
_atom_site_fract_z
_atom_site_occupancy
Tb1 Tb 0.0000 0.0000 0.0000 1
Y1 Y 0.0551 0.7216 0.1671 1
Y2 Y 0.1108 0.4441 0.3349 1
Y3 Y 0.2222 0.2222 0.6651 1
Y4 Y 0.2784 0.9449 0.8329 1
Y5 Y 0.3885 0.3885 0.1671 1
Y6 Y 0.4441 0.1108 0.3349 1
Y7 Y 0.5559 0.8892 0.6651 1
Y8 Y 0.6115 0.6115 0.8329 1
Y9 Y 0.7216 0.0551 0.1671 1
Y10 Y 0.7778 0.7778 0.3349 1
Y11 Y 0.8892 0.5559 0.6651 1
Y12 Y 0.9449 0.2784 0.8329 1
Tm1 Tm 0.1666 0.8334 0.5000 1
Tm2 Tm 0.3334 0.6666 0.0000 1
Tm3 Tm 0.5000 0.5000 0.5000 1
Tm4 Tm 0.6666 0.3334 0.0000 1
Tm5 Tm 0.8334 0.1666 0.5000 1



No. 4
# Tb5Y2Tm2, relaxed, DFT PBE-GGA
# - Magnetization: 0.0 μB per formula unit
# - Density: 7.58 g/cm3
# - Symmetry: C2/m, No. 12
# - Energy above the lowest structure with this stoichiometry: 0 meV/atom
# - Volume: 287 Å³ per cell
# - Energy of formation from the pure elements: 0.12 eV/atom
# - Crystal system: monoclinic
# - Total energy: -4.89 eV per atom
data_Tb5Y2Tm2
_chemical_formula_sum 'Tb5 Y2 Tm2'
_symmetry_space_group_name_H-M 'P 1'
_symmetry_Int_Tables_number 1
_cell_length_a 8.6513
_cell_length_b 8.6513
_cell_length_c 6.3373
_cell_angle_alpha 104.62
_cell_angle_beta 104.62
_cell_angle_gamma 38.94
loop_
_symmetry_equiv_pos_as_xyz
'x,y,z'
loop_
_atom_site_label
_atom_site_type_symbol
_atom_site_fract_x
_atom_site_fract_y
_atom_site_fract_z
_atom_site_occupancy
Tb1 Tb 0.0000 0.0000 0.0000 1
Tb2 Tb 0.2091 0.2091 0.0670 1
Tb3 Tb 0.3220 0.3220 0.6410 1
Tb4 Tb 0.6780 0.6780 0.3590 1
Tb5 Tb 0.7909 0.7909 0.9330 1
Y1 Y 0.4379 0.4379 0.2165 1
Y2 Y 0.5621 0.5621 0.7835 1
Tm1 Tm 0.1016 0.1016 0.5211 1
Tm2 Tm 0.8984 0.8984 0.4789 1



Copy entry 2 word for word.
# Tb2YTm, relaxed, DFT PBE-GGA
# - Magnetization: 0.0 μB per formula unit
# - Density: 7.60 g/cm3
# - Symmetry: R-3m, No. 166
# - Energy above the lowest structure with this stoichiometry: 10 meV/atom
# - Volume: 126 Å³ per cell
# - Energy of formation from the pure elements: 0.02 eV/atom
# - Crystal system: trigonal
# - Total energy: -5.03 eV per atom
data_Tb2YTm
_chemical_formula_sum 'Tb2 Y1 Tm1'
_symmetry_space_group_name_H-M 'P 1'
_symmetry_Int_Tables_number 1
_cell_length_a 11.7227
_cell_length_b 11.7227
_cell_length_c 11.7227
_cell_angle_alpha 17.40
_cell_angle_beta 17.40
_cell_angle_gamma 17.40
loop_
_symmetry_equiv_pos_as_xyz
'x,y,z'
loop_
_atom_site_label
_atom_site_type_symbol
_atom_site_fract_x
_atom_site_fract_y
_atom_site_fract_z
_atom_site_occupancy
Tb1 Tb 0.2491 0.2491 0.2491 1
Tb2 Tb 0.7509 0.7509 0.7509 1
Y1 Y 0.0000 0.0000 0.0000 1
Tm1 Tm 0.5000 0.5000 0.5000 1